# 1
RbSr2SeN | Alexandria | meta-GGA SCAN | single point on PBEsol structure; final energy = -18.36 eV/atom; total magnetic moment = 0.00 μB/f.u.; DOS(E_F) = 1.42 states/eV per cell; energy relative to the elements, uncorrected = 0.568 eV/atom
1.0
-1.061 2.703 -3.071
-4.942 -2.900 -0.845
-2.647 3.379 3.889
N Sr Se Rb
1 2 1 1
Direct
0.500 0.000 0.000
0.000 0.000 0.500
0.000 0.500 0.000
0.500 0.500 0.500
0.000 0.000 0.000

# 2
SbMoP2 | Alexandria | meta-GGA SCAN | single point on PBEsol structure; final energy = -23.16 eV/atom; total magnetic moment = 0.00 μB/f.u.; DOS(E_F) = 1.80 states/eV per cell; energy relative to the elements, uncorrected = 0.080 eV/atom
1.0
-1.155 -1.910 2.155
2.844 -0.392 1.177
-1.062 5.664 4.451
P Sb Mo
2 1 1
Direct
0.000 0.000 0.980
0.500 0.500 0.157
0.000 0.000 0.546
0.500 0.500 0.817

# 3
Li12Cd17 | Alexandria | meta-GGA SCAN | single point on PBEsol structure; final energy = -19.02 eV/atom; total magnetic moment = 0.00 μB/f.u.; formation enthalpy at 0 K = -0.20 eV/atom; DOS(E_F) = 7.79 states/eV per cell
1.0
8.787 0.000 0.000
-2.929 8.284 0.000
-2.929 -4.142 7.175
Cd Li
17 12
Direct
0.000 0.314 0.597
0.350 0.000 0.000
0.000 0.000 0.000
0.000 0.350 0.000
0.650 0.650 0.650
0.282 0.686 0.686
0.314 0.000 0.597
0.000 0.000 0.350
0.597 0.314 0.000
0.314 0.597 0.000
0.403 0.403 0.718
0.686 0.686 0.282
0.000 0.597 0.314
0.597 0.000 0.314
0.686 0.282 0.686
0.718 0.403 0.403
0.403 0.718 0.403
0.000 0.810 0.630
0.190 0.820 0.190
0.820 0.190 0.190
0.000 0.630 0.810
0.370 0.180 0.370
0.370 0.370 0.180
0.810 0.630 0.000
0.630 0.810 0.000
0.180 0.370 0.370
0.630 0.000 0.810
0.810 0.000 0.630
0.190 0.190 0.820

# 4
ZrBrCl2 | Alexandria | meta-GGA SCAN | single point on PBEsol structure; final energy = -17.37 eV/atom; total magnetic moment = 0.98 μB/f.u.; DOS(E_F) = 1.17 states/eV per cell; energy relative to the elements, uncorrected = -0.841 eV/atom; energy above the most stable polymorph in this dataset = 901.5 meV per atom
1.0
-2.830 2.053 2.620
-1.997 -3.362 -3.166
-1.140 -3.829 1.769
Zr Cl Br
1 2 1
Direct
0.500 0.000 0.500
0.750 0.500 0.750
0.250 0.500 0.250
0.000 0.000 0.000

# 5
BaSrP | Alexandria | meta-GGA SCAN | single point on PBEsol structure; final energy = -25.01 eV/atom; total magnetic moment = 0.10 μB/f.u.; formation enthalpy at 0 K = -0.94 eV/atom; DOS(E_F) = 1.43 states/eV per cell; energy above the most stable polymorph in this dataset = 38.7 meV per atom
1.0
-4.018 -2.586 2.167
0.348 -1.718 4.945
-2.852 2.271 3.773
P Ba Sr
1 1 1
Direct
0.250 0.250 0.250
0.500 0.500 0.500
0.000 0.000 0.000

# 6
ZrTe2Br | Alexandria | meta-GGA SCAN | single point on PBEsol structure; final energy = -31.99 eV/atom; total magnetic moment = 0.00 μB/f.u.; DOS(E_F) = 2.42 states/eV per cell; energy relative to the elements, uncorrected = -0.822 eV/atom; energy above the most stable polymorph in this dataset = 0.0 meV per atom
1.0
3.733 0.000 0.000
-1.866 5.156 -0.048
0.000 -2.946 6.549
Te Br Zr
2 1 1
Direct
0.003 0.006 0.924
0.199 0.398 0.654
0.822 0.643 0.317
0.476 0.952 0.606

# 7
SrLa6OsI12 | Alexandria | meta-GGA SCAN | single point on PBEsol structure; final energy = -41.25 eV/atom; total magnetic moment = 2.06 μB/f.u.; DOS(E_F) = 6.73 states/eV per cell; energy relative to the elements, uncorrected = -1.565 eV/atom
1.0
-9.573 2.620 0.183
0.200 -9.924 0.099
3.894 2.975 8.632
I La Os Sr
12 6 1 1
Direct
0.463 0.147 0.378
0.622 0.537 0.853
0.231 0.073 0.678
0.322 0.769 0.927
0.378 0.463 0.147
0.147 0.378 0.463
0.769 0.927 0.322
0.853 0.622 0.537
0.927 0.322 0.769
0.073 0.678 0.231
0.678 0.231 0.073
0.537 0.853 0.622
0.307 0.100 0.024
0.024 0.307 0.100
0.976 0.693 0.900
0.693 0.900 0.976
0.100 0.024 0.307
0.900 0.976 0.693
0.000 0.000 0.000
0.500 0.500 0.500

# 8
MnSiTe2 | Alexandria | meta-GGA SCAN | single point on PBEsol structure; final energy = -25.61 eV/atom; total magnetic moment = 3.13 μB/f.u.; DOS(E_F) = 2.05 states/eV per cell; energy relative to the elements, uncorrected = 0.087 eV/atom
1.0
4.430 -0.095 0.000
-1.097 4.292 0.000
0.000 0.000 4.411
Te Si Mn
2 1 1
Direct
0.053 0.947 0.000
0.686 0.313 0.500
0.303 0.697 0.500
0.457 0.543 0.000

# 9
LiTl2Cd | Alexandria | meta-GGA SCAN | single point on PBEsol structure; final energy = -44.49 eV/atom; total magnetic moment = 0.00 μB/f.u.; formation enthalpy at 0 K = -0.11 eV/atom; DOS(E_F) = 1.48 states/eV per cell
1.0
3.462 0.000 0.000
-1.731 4.811 -0.006
0.000 -1.124 5.601
Cd Li Tl
1 1 2
Direct
0.000 0.000 0.500
0.500 0.000 0.000
0.248 0.495 0.240
0.752 0.505 0.760

# 10
BaPI2 | Alexandria | meta-GGA SCAN | single point on PBEsol structure; final energy = -31.31 eV/atom; total magnetic moment = 0.00 μB/f.u.; DOS(E_F) = 3.81 states/eV per cell; energy relative to the elements, uncorrected = -0.449 eV/atom
1.0
5.441 0.000 0.000
0.000 5.441 0.000
-2.720 -2.720 10.279
I P Ba
4 2 2
Direct
0.625 0.577 0.750
0.125 0.173 0.750
0.423 0.875 0.250
0.827 0.375 0.250
0.750 0.250 0.500
0.500 0.500 0.000
0.000 0.000 0.000
0.250 0.750 0.500

# 11
BaAsIr2 | Alexandria | meta-GGA SCAN | single point on PBEsol structure; final energy = -49.79 eV/atom; total magnetic moment = 0.00 μB/f.u.; formation enthalpy at 0 K = 0.69 eV/atom; DOS(E_F) = 2.03 states/eV per cell
1.0
-3.955 -0.065 -0.823
-0.113 -4.285 0.883
-0.887 0.887 4.192
Ir Ba As
2 1 1
Direct
0.000 0.500 0.000
0.000 0.000 0.500
0.500 0.000 0.000
0.500 0.500 0.500

# 12
FeBrN2F | Alexandria | meta-GGA SCAN | single point on PBEsol structure; final energy = -11.29 eV/atom; total magnetic moment = 0.00 μB/f.u.; DOS(E_F) = 2.57 states/eV per cell; energy relative to the elements, uncorrected = 0.648 eV/atom
1.0
3.837 0.000 0.000
0.000 3.697 0.000
0.000 0.000 3.697
F Br Fe N
1 1 1 2
Direct
0.500 0.000 0.000
0.500 0.500 0.500
0.000 0.000 0.000
0.000 0.500 0.000
0.000 0.000 0.500

# 13
PbAuO2 | Alexandria | meta-GGA SCAN | single point on PBEsol structure; final energy = -39.94 eV/atom; total magnetic moment = 0.00 μB/f.u.; DOS(E_F) = 1.24 states/eV per cell; energy relative to the elements, uncorrected = -0.594 eV/atom
1.0
-0.253 3.516 -1.016
-1.720 2.414 2.161
4.653 3.189 3.256
Pb O Au
1 2 1
Direct
0.500 0.500 0.500
0.107 0.107 0.680
0.893 0.893 0.320
0.000 0.000 0.000

# 14
BaRu3 | Alexandria | meta-GGA SCAN | single point on PBEsol structure; final energy = -35.23 eV/atom; total magnetic moment = 0.00 μB/f.u.; formation enthalpy at 0 K = 0.78 eV/atom; DOS(E_F) = 5.31 states/eV per cell
1.0
-1.127 0.808 -2.778
2.130 -1.785 -1.384
-4.884 -6.011 0.233
Ba Ru
1 3
Direct
0.000 0.000 0.000
0.500 0.500 0.326
0.500 0.500 0.674
0.000 0.000 0.500

# 15
CsSe2I2 | Alexandria | meta-GGA SCAN | single point on PBEsol structure; final energy = -30.75 eV/atom; total magnetic moment = 1.02 μB/f.u.; DOS(E_F) = 0.37 states/eV per cell; energy relative to the elements, uncorrected = -0.458 eV/atom
1.0
4.654 0.000 0.000
0.000 9.186 0.000
0.000 0.000 9.186
I Se Cs
4 4 2
Direct
0.500 0.746 0.754
0.500 0.254 0.246
0.500 0.754 0.254
0.500 0.246 0.746
0.000 0.416 0.916
0.000 0.084 0.416
0.000 0.584 0.084
0.000 0.916 0.584
0.000 0.000 0.000
0.000 0.500 0.500

# 16
Hf2MgICl | Alexandria | meta-GGA SCAN | single point on PBEsol structure; final energy = -34.10 eV/atom; total magnetic moment = 0.00 μB/f.u.; DOS(E_F) = 5.10 states/eV per cell; energy relative to the elements, uncorrected = 0.904 eV/atom
1.0
4.598 0.000 0.000
0.000 5.287 0.000
0.000 0.000 5.287
Hf Cl Mg I
2 1 1 1
Direct
0.000 0.000 0.500
0.000 0.500 0.000
0.500 0.000 0.000
0.000 0.000 0.000
0.500 0.500 0.500

# 17
TlTcP | Alexandria | meta-GGA SCAN | single point on PBEsol structure; final energy = -38.42 eV/atom; total magnetic moment = 0.00 μB/f.u.; formation enthalpy at 0 K = 0.85 eV/atom; DOS(E_F) = 2.17 states/eV per cell
1.0
-2.698 1.231 -3.038
-1.231 -2.752 -2.989
-3.984 -1.467 -0.024
Tc Tl P
1 1 1
Direct
0.000 0.000 0.000
0.500 0.500 0.500
0.250 0.250 0.250

# 18
Na4Ca2SnP4 | Alexandria | meta-GGA SCAN | single point on PBEsol structure; final energy = -11.07 eV/atom; total magnetic moment = 0.00 μB/f.u.; formation enthalpy at 0 K = -0.74 eV/atom
1.0
-4.378 -2.587 -4.837
7.018 -3.103 -5.334
-3.658 -5.526 6.587
Na P Ca Sn
8 8 4 2
Direct
0.234 0.136 0.848
0.880 0.472 0.538
0.734 0.289 0.152
0.205 0.141 0.290
0.380 0.934 0.462
0.677 0.862 0.146
0.177 0.716 0.854
0.705 0.851 0.710
0.641 0.655 0.321
0.141 0.334 0.679
0.142 0.375 0.179
0.614 0.195 0.377
0.089 0.809 0.183
0.589 0.626 0.817
0.642 0.196 0.821
0.114 0.818 0.623
0.389 0.530 0.472
0.377 0.532 0.052
0.877 0.481 0.948
0.889 0.058 0.528
0.000 0.662 0.334
0.500 0.328 0.666

# 19
CdAgAs2 | Alexandria | meta-GGA SCAN | single point on PBEsol structure; final energy = -25.33 eV/atom; total magnetic moment = 0.00 μB/f.u.; formation enthalpy at 0 K = 0.21 eV/atom; DOS(E_F) = 1.29 states/eV per cell
1.0
-2.793 0.763 0.086
-1.042 -3.399 -3.667
1.019 -2.369 5.306
Ag As Cd
1 2 1
Direct
0.500 0.000 0.000
0.233 0.207 0.466
0.767 0.793 0.534
0.000 0.500 0.000

# 20
K2SnS | Alexandria | meta-GGA SCAN | single point on PBEsol structure; final energy = -15.75 eV/atom; total magnetic moment = 2.01 μB/f.u.; DOS(E_F) = 2.31 states/eV per cell; energy relative to the elements, uncorrected = -0.199 eV/atom
1.0
5.541 0.000 0.000
2.770 4.799 0.000
2.770 1.600 4.524
Sn S K
1 1 2
Direct
0.500 0.500 0.500
0.000 0.000 0.000
0.750 0.750 0.750
0.250 0.250 0.250